# 1
Here is a relaxed structure of Nd3ThTl4 from Alexandria. Energies are from PBE.

a = 3.624 Å, b = 3.624 Å, c = 17.915 Å
α = 90.00°, β = 90.00°, γ = 90.00°
Positions (direct):
1 Nd 0.000 0.000 0.000
2 Nd 0.000 0.000 0.249
3 Nd 0.000 0.000 0.751
4 Th 0.000 0.000 0.500
5 Tl 0.500 0.500 0.125
6 Tl 0.500 0.500 0.374
7 Tl 0.500 0.500 0.626
8 Tl 0.500 0.500 0.875

Results
final energy: -33.78 eV/cell

=====

# 2
Here is a relaxed structure of Nd2Th2Tl3 from Alexandria. Energies are from PBE.

a = 16.775 Å, b = 16.775 Å, c = 3.547 Å
α = 90.00°, β = 90.00°, γ = 167.75°
Positions (direct):
1 Nd 0.068 0.932 0.000
2 Nd 0.932 0.068 0.000
3 Th 0.206 0.794 0.000
4 Th 0.794 0.206 0.000
5 Tl 0.363 0.637 0.500
6 Tl 0.500 0.500 0.500
7 Tl 0.637 0.363 0.500

Results
final energy: -32.56 eV/cell

=====

# 3
Here is a relaxed structure of NdThTl4 from Alexandria. Energies are from PBE.

a = 6.243 Å, b = 6.243 Å, c = 6.243 Å
α = 60.00°, β = 60.00°, γ = 60.00°
Positions (direct):
1 Nd 0.000 0.000 0.000
2 Th 0.250 0.250 0.250
3 Tl 0.125 0.625 0.625
4 Tl 0.625 0.125 0.625
5 Tl 0.625 0.625 0.125
6 Tl 0.625 0.625 0.625

Results
energy relative to the lowest polymorph listed for this composition: 0.1373 eV per atom
final energy: -21.86 eV/cell

=====

# 4
Here is a relaxed structure of NdTh2Tl from Alexandria. Energies are from PBE.

a = 4.890 Å, b = 4.890 Å, c = 5.129 Å
α = 90.00°, β = 90.00°, γ = 90.00°
Positions (direct):
1 Nd 0.000 0.000 0.000
2 Th 0.000 0.500 0.500
3 Th 0.500 0.000 0.500
4 Tl 0.500 0.500 0.000

Results
energy relative to the lowest polymorph listed for this composition: 0.0170 eV per atom
final energy: -22.36 eV/cell

=====

# 5
Here is a relaxed structure of Nd6ThTl5 from Alexandria. Energies are from PBE.

a = 9.391 Å, b = 9.391 Å, c = 9.391 Å
α = 148.16°, β = 122.58°, γ = 67.17°
Positions (direct):
1 Nd 0.071 0.330 0.741
2 Nd 0.232 0.000 0.232
3 Nd 0.411 0.670 0.741
4 Nd 0.589 0.330 0.259
5 Nd 0.768 0.000 0.768
6 Nd 0.929 0.670 0.259
7 Th 0.500 0.500 0.000
8 Tl 0.000 0.500 0.500
9 Tl 0.175 0.175 0.000
10 Tl 0.348 0.848 0.500
11 Tl 0.652 0.152 0.500
12 Tl 0.825 0.825 0.000

Results
final energy: -51.14 eV/cell

=====

# 6
Here is a relaxed structure of Nd4ThTl2 from Alexandria. Energies are from PBE.

a = 6.884 Å, b = 6.884 Å, c = 4.993 Å
α = 90.00°, β = 90.00°, γ = 100.44°
Positions (direct):
1 Nd 0.000 0.500 0.500
2 Nd 0.208 0.208 0.000
3 Nd 0.500 0.000 0.500
4 Nd 0.792 0.792 0.000
5 Th 0.500 0.500 0.500
6 Tl 0.279 0.721 0.000
7 Tl 0.721 0.279 0.000

Results
energy relative to the lowest polymorph listed for this composition: 0.0000 eV per atom
final energy: -31.88 eV/cell

=====

# 7
Here is a relaxed structure of NdThTl from Alexandria. Energies are from PBE.

a = 3.674 Å, b = 5.083 Å, c = 10.267 Å
α = 90.00°, β = 100.23°, γ = 90.00°
Positions (direct):
1 Nd 0.103 0.250 0.209
2 Nd 0.897 0.750 0.791
3 Th 0.286 0.250 0.571
4 Th 0.714 0.750 0.429
5 Tl 0.454 0.250 0.905
6 Tl 0.546 0.750 0.095

Results
energy relative to the lowest polymorph listed for this composition: 0.0270 eV per atom
final energy: -29.93 eV/cell

=====

# 8
Here is a relaxed structure of NdThTl6 from Alexandria. Energies are from PBE.

a = 4.823 Å, b = 4.823 Å, c = 9.641 Å
α = 90.00°, β = 90.00°, γ = 90.00°
Positions (direct):
1 Nd 0.000 0.000 0.000
2 Th 0.000 0.000 0.500
3 Tl 0.000 0.500 0.249
4 Tl 0.000 0.500 0.751
5 Tl 0.500 0.000 0.249
6 Tl 0.500 0.000 0.751
7 Tl 0.500 0.500 0.000
8 Tl 0.500 0.500 0.500

Results
final energy: -28.29 eV/cell

=====

# 9
Here is a relaxed structure of NdThTl from Alexandria. Energies are from PBE.

a = 8.330 Å, b = 8.330 Å, c = 8.330 Å
α = 37.92°, β = 37.92°, γ = 37.92°
Positions (direct):
1 Nd 0.128 0.128 0.128
2 Nd 0.872 0.872 0.872
3 Th 0.293 0.293 0.293
4 Th 0.707 0.707 0.707
5 Tl 0.433 0.433 0.433
6 Tl 0.567 0.567 0.567

Results
energy relative to the lowest polymorph listed for this composition: 0.2109 eV per atom
final energy: -28.82 eV/cell

=====

# 10
Here is a relaxed structure of Nd2ThTl2 from Alexandria. Energies are from PBE.

a = 8.235 Å, b = 8.235 Å, c = 3.603 Å
α = 90.00°, β = 90.00°, γ = 140.01°
Positions (direct):
1 Nd 0.134 0.866 0.000
2 Nd 0.866 0.134 0.000
3 Th 0.500 0.500 0.000
4 Tl 0.321 0.679 0.500
5 Tl 0.679 0.321 0.500

Results
final energy: -22.13 eV/cell

=====

# 11
Here is a relaxed structure of NdTh2Tl from Alexandria. Energies are from PBE.

a = 12.652 Å, b = 12.652 Å, c = 12.652 Å
α = 15.60°, β = 15.60°, γ = 15.60°
Positions (direct):
1 Nd 0.000 0.000 0.000
2 Th 0.091 0.091 0.091
3 Th 0.909 0.909 0.909
4 Tl 0.500 0.500 0.500

Results
energy relative to the lowest polymorph listed for this composition: 0.2970 eV per atom
final energy: -21.24 eV/cell

=====

# 12
Here is a relaxed structure of NdTh2Tl from Alexandria. Energies are from PBE.

a = 11.802 Å, b = 11.802 Å, c = 11.802 Å
α = 17.39°, β = 17.39°, γ = 17.39°
Positions (direct):
1 Nd 0.000 0.000 0.000
2 Th 0.421 0.421 0.421
3 Th 0.581 0.581 0.581
4 Tl 0.834 0.834 0.834

Results
energy relative to the lowest polymorph listed for this composition: 0.1492 eV per atom
final energy: -21.84 eV/cell

=====

# 13
Here is a relaxed structure of NdTh4Tl5 from Alexandria. Energies are from PBE.

a = 3.560 Å, b = 3.560 Å, c = 23.065 Å
α = 90.00°, β = 90.00°, γ = 90.00°
Positions (direct):
1 Nd 0.000 0.000 0.000
2 Th 0.000 0.000 0.199
3 Th 0.000 0.000 0.400
4 Th 0.000 0.000 0.600
5 Th 0.000 0.000 0.801
6 Tl 0.500 0.500 0.099
7 Tl 0.500 0.500 0.300
8 Tl 0.500 0.500 0.500
9 Tl 0.500 0.500 0.700
10 Tl 0.500 0.500 0.901

Results
final energy: -48.18 eV/cell

=====

# 14
Here is a relaxed structure of NdThTl2 from Alexandria. Energies are from PBE.

a = 5.076 Å, b = 5.076 Å, c = 4.553 Å
α = 90.00°, β = 90.00°, γ = 90.00°
Positions (direct):
1 Nd 0.000 0.000 0.000
2 Th 0.500 0.500 0.000
3 Tl 0.000 0.500 0.500
4 Tl 0.500 0.000 0.500

Results
final energy: -17.87 eV/cell

=====

# 15
Here is a relaxed structure of Nd5Th2Tl2 from Alexandria. Energies are from PBE.

a = 9.459 Å, b = 9.459 Å, c = 8.440 Å
α = 90.00°, β = 90.00°, γ = 53.66°
Positions (direct):
1 Nd 0.000 0.000 0.000
2 Nd 0.017 0.687 0.659
3 Nd 0.187 0.517 0.159
4 Nd 0.313 0.983 0.659
5 Nd 0.483 0.813 0.159
6 Nd 0.500 0.500 0.500
7 Nd 0.517 0.187 0.841
8 Nd 0.687 0.017 0.341
9 Nd 0.813 0.483 0.841
10 Nd 0.983 0.313 0.341
11 Th 0.139 0.861 0.359
12 Th 0.361 0.639 0.859
13 Th 0.639 0.361 0.141
14 Th 0.861 0.139 0.641
15 Tl 0.198 0.198 0.000
16 Tl 0.302 0.302 0.500
17 Tl 0.698 0.698 0.500
18 Tl 0.802 0.802 0.000

Results
final energy: -86.49 eV/cell

=====

# 16
Here is a relaxed structure of NdTh2Tl3 from Alexandria. Energies are from PBE.

a = 3.579 Å, b = 3.579 Å, c = 13.706 Å
α = 90.00°, β = 90.00°, γ = 90.00°
Positions (direct):
1 Nd 0.000 0.000 0.000
2 Th 0.000 0.000 0.333
3 Th 0.000 0.000 0.667
4 Tl 0.500 0.500 0.165
5 Tl 0.500 0.500 0.500
6 Tl 0.500 0.500 0.835

Results
final energy: -28.04 eV/cell

=====

# 17
Here is a relaxed structure of NdThTl3 from Alexandria. Energies are from PBE.

a = 5.716 Å, b = 5.716 Å, c = 5.716 Å
α = 90.00°, β = 90.00°, γ = 90.00°
Positions (direct):
1 Nd 0.000 0.000 0.000
2 Th 0.500 0.500 0.500
3 Tl 0.000 0.000 0.500
4 Tl 0.000 0.500 0.000
5 Tl 0.500 0.000 0.000

Results
final energy: -15.98 eV/cell

=====

# 18
Here is a relaxed structure of Nd5Th3Tl12 from Alexandria. Energies are from PBE.

a = 15.849 Å, b = 15.849 Å, c = 15.849 Å
α = 109.47°, β = 109.47°, γ = 109.47°
Positions (direct):
1 Nd 0.000 0.000 0.000
2 Nd 0.000 0.000 0.500
3 Nd 0.000 0.500 0.000
4 Nd 0.000 0.500 0.500
5 Nd 0.125 0.750 0.875
6 Nd 0.125 0.875 0.250
7 Nd 0.250 0.125 0.875
8 Nd 0.250 0.625 0.375
9 Nd 0.375 0.250 0.625
10 Nd 0.375 0.625 0.750
11 Nd 0.500 0.000 0.000
12 Nd 0.500 0.000 0.500
13 Nd 0.500 0.500 0.000
14 Nd 0.500 0.500 0.500
15 Nd 0.625 0.375 0.250
16 Nd 0.625 0.750 0.375
17 Nd 0.750 0.375 0.625
18 Nd 0.750 0.875 0.125
19 Nd 0.875 0.125 0.750
20 Nd 0.875 0.250 0.125
21 Th 0.125 0.250 0.375
22 Th 0.125 0.375 0.750
23 Th 0.250 0.375 0.125
24 Th 0.250 0.875 0.625
25 Th 0.375 0.125 0.250
26 Th 0.375 0.750 0.125
27 Th 0.625 0.250 0.875
28 Th 0.625 0.875 0.750
29 Th 0.750 0.125 0.375
30 Th 0.750 0.625 0.875
31 Th 0.875 0.625 0.250
32 Th 0.875 0.750 0.625
33 Tl 0.071 0.229 0.147
34 Tl 0.071 0.342 0.924
35 Tl 0.076 0.647 0.418
36 Tl 0.076 0.929 0.658
37 Tl 0.082 0.729 0.658
38 Tl 0.082 0.853 0.424
39 Tl 0.147 0.071 0.229
40 Tl 0.147 0.576 0.918
41 Tl 0.158 0.229 0.582
42 Tl 0.158 0.429 0.576
43 Tl 0.229 0.147 0.071
44 Tl 0.229 0.582 0.158
45 Tl 0.271 0.342 0.918
46 Tl 0.271 0.429 0.353
47 Tl 0.342 0.918 0.271
48 Tl 0.342 0.924 0.071
49 Tl 0.353 0.271 0.429
50 Tl 0.353 0.582 0.924
51 Tl 0.418 0.076 0.647
52 Tl 0.418 0.842 0.771
53 Tl 0.424 0.082 0.853
54 Tl 0.424 0.842 0.571
55 Tl 0.429 0.353 0.271
56 Tl 0.429 0.576 0.158
57 Tl 0.571 0.424 0.842
58 Tl 0.571 0.647 0.729
59 Tl 0.576 0.158 0.429
60 Tl 0.576 0.918 0.147
61 Tl 0.582 0.158 0.229
62 Tl 0.582 0.924 0.353
63 Tl 0.647 0.418 0.076
64 Tl 0.647 0.729 0.571
65 Tl 0.658 0.076 0.929
66 Tl 0.658 0.082 0.729
67 Tl 0.729 0.571 0.647
68 Tl 0.729 0.658 0.082
69 Tl 0.771 0.418 0.842
70 Tl 0.771 0.853 0.929
71 Tl 0.842 0.571 0.424
72 Tl 0.842 0.771 0.418
73 Tl 0.853 0.424 0.082
74 Tl 0.853 0.929 0.771
75 Tl 0.918 0.147 0.576
76 Tl 0.918 0.271 0.342
77 Tl 0.924 0.071 0.342
78 Tl 0.924 0.353 0.582
79 Tl 0.929 0.658 0.076
80 Tl 0.929 0.771 0.853

Results
final energy: -276.36 eV/cell

=====

# 19
Here is a relaxed structure of NdThTl from Alexandria. Energies are from PBE.

a = 5.998 Å, b = 5.998 Å, c = 5.998 Å
α = 139.30°, β = 139.30°, γ = 58.92°
Positions (direct):
1 Nd 0.000 0.000 0.000
2 Th 0.682 0.682 0.000
3 Tl 0.344 0.344 0.000

Results
energy relative to the lowest polymorph listed for this composition: 0.0793 eV per atom
final energy: -14.81 eV/cell

=====

# 20
Here is a relaxed structure of NdThTl from Alexandria. Energies are from PBE.

a = 5.467 Å, b = 5.467 Å, c = 3.655 Å
α = 90.00°, β = 90.00°, γ = 120.00°
Positions (direct):
1 Nd 0.000 0.000 0.000
2 Th 0.667 0.333 0.450
3 Tl 0.333 0.667 0.727

Results
energy relative to the lowest polymorph listed for this composition: 0.2068 eV per atom
final energy: -14.42 eV/cell

=====

no.,formation energy (eV/f.u.)
1,-2.6
2,-1.1
3,-0.2
4,-0.4
5,-3.3
6,-0.7
7,-0.4
8,-1.9
9,0.1
10,-0.4
11,0.7
12,0.1
13,-1.9
14,-0.9
15,0.2
16,-1.3
17,3.3
18,5.4
19,-0.3
20,0.1